The following is a PBE calculation of a geometry-optimized KBa2Sm3 structure, from the Open Quantum Materials Database.

Output
Magnetization (μB per formula unit): 0.0
Final energy (eV/atom): -2.693

Unit cell a=7.1471 b=7.1471 c=6.6594 alpha=90.00 beta=90.00 gamma=120.00
Space group P-3m1 (No. 164)
Inequivalent atoms, fractional coordinates:
K 0.0000 0.0000 0.0000 (multiplicity 1)
Ba 0.3333 0.6667 0.9975 (multiplicity 2)
Sm 0.0000 0.5000 0.5000 (multiplicity 3)

The following is a PBE calculation of a geometry-optimized KBaTa structure, from the Open Quantum Materials Database.

Output
Magnetization (μB per formula unit): 5.9
Excess energy over the best structure of this formula in the dataset (meV per atom): 0

Unit cell a=8.482 b=8.482 c=8.482 alpha=90.00 beta=90.00 gamma=90.00
Space group F-43m (No. 216)
Inequivalent atoms, fractional coordinates:
K 0.000 0.000 0.000 (multiplicity 4)
Ba 0.000 0.000 0.500 (multiplicity 4)
Ta 0.250 0.250 0.750 (multiplicity 4)

The following is a PBE calculation of a geometry-optimized KBaTbTe3 structure, from the Open Quantum Materials Database.

Output
Magnetization (μB per formula unit): 0.0
Excess energy over the best structure of this formula in the dataset (meV per atom): 0

Unit cell a=9.160 b=4.834 c=10.761 alpha=90.00 beta=109.59 gamma=90.00
Space group P2_1/m (No. 11)
Inequivalent atoms, fractional coordinates:
K 0.098 0.250 0.078 (multiplicity 2)
Ba 0.266 0.250 0.768 (multiplicity 2)
Tb 0.311 0.750 0.356 (multiplicity 2)
Te 0.089 0.250 0.376 (multiplicity 2)
Te 0.313 0.750 0.040 (multiplicity 2)
Te 0.468 0.750 0.650 (multiplicity 2)

The following is a PBE calculation of a geometry-optimized KBaTbTe3 structure, from the Open Quantum Materials Database.

Output
Magnetization (μB per formula unit): 0.0
Excess energy over the best structure of this formula in the dataset (meV per atom): 65

Unit cell a=4.862 b=15.621 c=11.946 alpha=90.00 beta=90.00 gamma=90.00
Space group Cmcm (No. 63)
Inequivalent atoms, fractional coordinates:
K 0.000 0.030 0.250 (multiplicity 4)
Ba 0.000 0.247 0.750 (multiplicity 4)
Tb 0.000 0.500 0.000 (multiplicity 4)
Te 0.000 0.137 0.028 (multiplicity 8)
Te 0.000 0.408 0.250 (multiplicity 4)

The following is a PBE calculation of a geometry-optimized KBaTh structure, from the Open Quantum Materials Database.

Output
Magnetization (μB per formula unit): 3.3
Final energy (eV/atom): -2.146

Unit cell a=8.744 b=8.744 c=8.744 alpha=90.00 beta=90.00 gamma=90.00
Space group F-43m (No. 216)
Inequivalent atoms, fractional coordinates:
K 0.000 0.000 0.000 (multiplicity 4)
Ba 0.250 0.250 0.750 (multiplicity 4)
Th 0.250 0.250 0.250 (multiplicity 4)

The following is a PBE calculation of a geometry-optimized KBaTm structure, from the Open Quantum Materials Database.

Output
Magnetization (μB per formula unit): 0.1
Excess energy over the best structure of this formula in the dataset (meV per atom): 0

Unit cell a=9.080 b=9.080 c=9.080 alpha=90.00 beta=90.00 gamma=90.00
Space group F-43m (No. 216)
Inequivalent atoms, fractional coordinates:
K 0.000 0.000 0.000 (multiplicity 4)
Ba 0.000 0.000 0.500 (multiplicity 4)
Tm 0.250 0.250 0.750 (multiplicity 4)

The following is a PBE calculation of a geometry-optimized BaLaLu structure, from the Open Quantum Materials Database.

Output
Magnetization (μB per formula unit): 0.0
Excess energy over the best structure of this formula in the dataset (meV per atom): 0

Unit cell a=8.281 b=8.281 c=8.281 alpha=90.00 beta=90.00 gamma=90.00
Space group F-43m (No. 216)
Inequivalent atoms, fractional coordinates:
Ba 0.000 0.000 0.000 (multiplicity 4)
La 0.000 0.000 0.500 (multiplicity 4)
Lu 0.250 0.250 0.250 (multiplicity 4)

The following is a PBE calculation of a geometry-optimized BaLaMg4Pt2 structure, from the Open Quantum Materials Database.

Output
Magnetization (μB per formula unit): 0.0
Final energy (eV/atom): -3.770

Unit cell a=8.292 b=4.326 c=11.027 alpha=90.00 beta=90.00 gamma=90.00
Space group Amm2 (No. 38)
Inequivalent atoms, fractional coordinates:
Ba 0.000 0.000 0.000 (multiplicity 2)
La 0.500 0.000 0.120 (multiplicity 2)
Mg 0.196 0.000 0.719 (multiplicity 4)
Mg 0.310 0.000 0.399 (multiplicity 4)
Pt 0.000 0.000 0.281 (multiplicity 2)
Pt 0.500 0.000 0.831 (multiplicity 2)